1.
# Y2AlRh

Y2AlRh after structural relaxation (PBE, Alexandria via LeMat-Bulk).

Calculated values
volume = 188.0 Å³ per cell
ΔH_f (0 K) = -0.65 eV per atom
raw total energy = -6.66 eV/atom
spin magnetization = 0.00 Bohr magnetons per cell

Structure (CIF):
```
data_Y2AlRh
_chemical_formula_sum 'Y4 Al2 Rh2'
_space_group_name_H-M_alt 'P 1'
_space_group_IT_number 1
_cell_length_a 3.791
_cell_length_b 6.079
_cell_length_c 8.859
_cell_angle_alpha 112.94
_cell_angle_beta 90.00
_cell_angle_gamma 90.00
loop_
_space_group_symop_operation_xyz
'x,y,z'
loop_
_atom_site_label
_atom_site_fract_x
_atom_site_fract_y
_atom_site_fract_z
Y1 0.750 0.210 0.443
Y2 0.250 0.790 0.557
Y3 0.250 0.787 0.093
Y4 0.750 0.213 0.907
Al1 0.250 0.360 0.215
Al2 0.750 0.640 0.785
Rh1 0.750 0.671 0.291
Rh2 0.250 0.329 0.709
```

2.
# Y2AlRh

Y2AlRh after structural relaxation (PBE, Alexandria via LeMat-Bulk).

Calculated values
volume = 87.9 Å³ per cell
ΔH_f (0 K) = -0.63 eV per atom
raw total energy = -6.63 eV/atom
spin magnetization = 0.00 Bohr magnetons per cell

Structure (CIF):
```
data_Y2AlRh
_chemical_formula_sum 'Y2 Al1 Rh1'
_space_group_name_H-M_alt 'P 1'
_space_group_IT_number 1
_cell_length_a 3.574
_cell_length_b 3.512
_cell_length_c 7.832
_cell_angle_alpha 63.36
_cell_angle_beta 90.00
_cell_angle_gamma 90.00
loop_
_space_group_symop_operation_xyz
'x,y,z'
loop_
_atom_site_label
_atom_site_fract_x
_atom_site_fract_y
_atom_site_fract_z
Y1 0.000 0.015 0.985
Y2 0.000 0.485 0.515
Rh1 0.500 0.750 0.750
Al1 0.500 0.250 0.250
```

Q: What is the ΔH_f (0 K) in the second record?
A: -0.63 eV per atom

Repeat the first record exactly.
# Y2AlRh

Y2AlRh after structural relaxation (PBE, Alexandria via LeMat-Bulk).

Calculated values
volume = 188.0 Å³ per cell
ΔH_f (0 K) = -0.65 eV per atom
raw total energy = -6.66 eV/atom
spin magnetization = 0.00 Bohr magnetons per cell

Structure (CIF):
```
data_Y2AlRh
_chemical_formula_sum 'Y4 Al2 Rh2'
_space_group_name_H-M_alt 'P 1'
_space_group_IT_number 1
_cell_length_a 3.791
_cell_length_b 6.079
_cell_length_c 8.859
_cell_angle_alpha 112.94
_cell_angle_beta 90.00
_cell_angle_gamma 90.00
loop_
_space_group_symop_operation_xyz
'x,y,z'
loop_
_atom_site_label
_atom_site_fract_x
_atom_site_fract_y
_atom_site_fract_z
Y1 0.750 0.210 0.443
Y2 0.250 0.790 0.557
Y3 0.250 0.787 0.093
Y4 0.750 0.213 0.907
Al1 0.250 0.360 0.215
Al2 0.750 0.640 0.785
Rh1 0.750 0.671 0.291
Rh2 0.250 0.329 0.709
```

Q: Number 2 is which compound?
A: Y2AlRh